DFT (PBE) results for a geometry-optimized TaTl3I8 structure.

Computed properties:
Space group: P6_3mc (186)
Energy relative to the elements, uncorrected: -510 meV per atom
Spin magnetization: 0.000 μB per formula unit
Electronic total energy: -37.47 eV/f.u.

a = 9.7837 Å, b = 9.7837 Å, c = 13.2005 Å
α = 90.00°, β = 90.00°, γ = 120.00°
Fractional positions:
1 Ta 0.3333 0.6667 0.0000
2 Ta 0.6667 0.3333 0.5000
3 Tl 0.1580 0.3161 0.4956
4 Tl 0.1580 0.8420 0.4956
5 Tl 0.3161 0.1580 0.9956
6 Tl 0.6839 0.8420 0.4956
7 Tl 0.8420 0.1580 0.9956
8 Tl 0.8420 0.6839 0.9956
9 I 0.0000 0.0000 0.3322
10 I 0.0000 0.0000 0.8322
11 I 0.0678 0.5339 0.8790
12 I 0.2004 0.4008 0.1252
13 I 0.2004 0.7996 0.1252
14 I 0.3333 0.6667 0.6110
15 I 0.4008 0.2004 0.6252
16 I 0.4661 0.5339 0.8790
17 I 0.4661 0.9322 0.8790
18 I 0.5339 0.0678 0.3790
19 I 0.5339 0.4661 0.3790
20 I 0.5992 0.7996 0.1252
21 I 0.6667 0.3333 0.1110
22 I 0.7996 0.2004 0.6252
23 I 0.7996 0.5992 0.6252
24 I 0.9322 0.4661 0.3790